First-principles (PBE-GGA) data for crystalline Hf2NbPb2 at its relaxed geometry, as listed in Alexandria.

Geometry as POSCAR:
```
Hf2NbPb2
1.0
7.564 0.000 0.000
0.000 7.564 0.000
0.000 0.000 3.949
Hf Nb Pb
4 2 4
Direct
0.163 0.337 0.000 Hf
0.337 0.837 0.000 Hf
0.663 0.163 0.000 Hf
0.837 0.663 0.000 Hf
0.000 0.000 0.500 Nb
0.500 0.500 0.500 Nb
0.142 0.642 0.500 Pb
0.358 0.142 0.500 Pb
0.642 0.858 0.500 Pb
0.858 0.358 0.500 Pb
```

## Properties
E_form = 177 meV per atom
Crystal system = tetragonal
M_tot = 0.00 μB/f.u.
D(E_F) = 5.46 states/eV/cell
Final energy = -36.51 eV/f.u.